(1)
Here is a relaxed structure of Er2Zn3Au2 from Alexandria via LeMat-Bulk. Energies are from PBE-GGA.

Cell: 3.761 19.299 7.684 Å, 90.00 90.00 90.00°
Space group Cmcm (No. 63)
Unique sites:
Er: 0.000 0.069 0.250 (multiplicity 4)
Er: 0.000 0.153 0.750 (multiplicity 4)
Zn: 0.000 0.232 0.250 (multiplicity 4)
Zn: 0.000 0.449 0.087 (multiplicity 8)
Au: 0.000 0.322 0.550 (multiplicity 8)

Summary:
For the formation enthalpy at 0 K, the calculation gives -0.51 eV per atom. The magnetic moment is 0.0 μB per cell. The volume comes out at 557.7 Å³ per cell. The calculation puts the theoretical density at 11.01 g cm⁻³.

(2)
Here is a relaxed structure of BaSb2Pb2 from Alexandria via LeMat-Bulk. Energies are from PBE-GGA.

Cell: 4.686 30.615 4.878 Å, 90.00 90.00 90.00°
Space group Cmcm (No. 63)
Unique sites:
Ba: 0.000 0.162 0.250 (multiplicity 4)
Sb: 0.000 0.249 0.750 (multiplicity 4)
Sb: 0.000 0.383 0.250 (multiplicity 4)
Pb: 0.000 0.044 0.750 (multiplicity 4)
Pb: 0.000 0.450 0.750 (multiplicity 4)

Summary:
The magnetic moment is 0.0 μB per cell. The volume comes out at 699.8 Å³ per cell. The calculation puts the theoretical density at 7.55 g cm⁻³.

(3)
Here is a relaxed structure of Ce3ZrTl3Se8 from Alexandria via LeMat-Bulk. Energies are from PBE-GGA.

Cell: 8.4498 8.4498 23.4614 Å, 90.00 90.00 120.00°
Space group R-3m (No. 166, hexagonal axes)
Unique sites:
Ce: 0.0000 0.5000 0.0000 (multiplicity 9)
Zr: 0.0000 0.0000 0.0000 (multiplicity 3)
Tl: 0.0000 0.5000 0.5000 (multiplicity 9)
Se: 0.0000 0.0000 0.2628 (multiplicity 6)
Se: 0.0218 0.5109 0.7331 (multiplicity 18)

Summary:
The magnetic moment is 9.1 μB per cell. The volume comes out at 1450.8 Å³ per cell. The calculation puts the theoretical density at 6.03 g cm⁻³.

(4)
Here is a relaxed structure of K3GeBr from Alexandria via LeMat-Bulk. Energies are from PBE-GGA.

Cell: 6.193 6.193 6.193 Å, 90.00 90.00 90.00°
Space group Pm-3m (No. 221)
Unique sites:
K: 0.000 0.000 0.500 (multiplicity 3)
Ge: 0.500 0.500 0.500 (multiplicity 1)
Br: 0.000 0.000 0.000 (multiplicity 1)

Summary:
The magnetic moment is 2.0 μB per cell. The volume comes out at 237.6 Å³ per cell. The calculation puts the theoretical density at 1.89 g cm⁻³.

(5)
Here is a relaxed structure of Be3PdI from Alexandria via LeMat-Bulk. Energies are from PBE-GGA.

Cell: 4.462 4.462 4.462 Å, 90.00 90.00 90.00°
Space group Pm-3m (No. 221)
Unique sites:
Be: 0.000 0.000 0.500 (multiplicity 3)
Pd: 0.000 0.000 0.000 (multiplicity 1)
I: 0.500 0.500 0.500 (multiplicity 1)

Summary:
The magnetic moment is 0.0 μB per cell. The volume comes out at 88.8 Å³ per cell. The calculation puts the theoretical density at 4.87 g cm⁻³.

(6)
Here is a relaxed structure of Cs2SmCuF6 from Alexandria via LeMat-Bulk. Energies are from PBE-GGA.

Cell: 8.353 9.965 10.012 Å, 90.00 90.00 90.00°
Space group Fmmm (No. 69)
Unique sites:
Cs: 0.250 0.250 0.250 (multiplicity 8)
Sm: 0.000 0.000 0.000 (multiplicity 4)
Cu: 0.000 0.000 0.500 (multiplicity 4)
F: 0.000 0.000 0.223 (multiplicity 8)
F: 0.000 0.224 0.000 (multiplicity 8)
F: 0.227 0.000 0.500 (multiplicity 8)

Summary:
The magnetic moment is 0.3 μB per cell. The volume comes out at 833.4 Å³ per cell. The calculation puts the theoretical density at 4.73 g cm⁻³.

(7)
Here is a relaxed structure of Cs3TePt from Alexandria via LeMat-Bulk. Energies are from PBE-GGA.

Cell: 6.300 6.300 6.300 Å, 90.00 90.00 90.00°
Space group Pm-3m (No. 221)
Unique sites:
Cs: 0.000 0.000 0.500 (multiplicity 3)
Te: 0.500 0.500 0.500 (multiplicity 1)
Pt: 0.000 0.000 0.000 (multiplicity 1)

Summary:
The magnetic moment is 0.4 μB per cell. The volume comes out at 250.0 Å³ per cell. The calculation puts the theoretical density at 4.79 g cm⁻³.

(8)
Here is a relaxed structure of Pr2TiCdO6 from Alexandria via LeMat-Bulk. Energies are from PBE-GGA.

Cell: 5.441 5.441 5.185 Å, 90.00 90.00 90.00°
Space group P4mm (No. 99)
Unique sites:
Pr: 0.000 0.500 0.000 (multiplicity 2)
Ti: 0.000 0.000 0.598 (multiplicity 1)
Cd: 0.500 0.500 0.547 (multiplicity 1)
O: 0.000 0.000 0.243 (multiplicity 1)
O: 0.233 0.233 0.735 (multiplicity 4)
O: 0.500 0.500 0.137 (multiplicity 1)

Summary:
The magnetic moment is 0.0 μB per cell. The volume comes out at 153.5 Å³ per cell. The calculation puts the theoretical density at 5.82 g cm⁻³.

(9)
Here is a relaxed structure of CdBCl from Alexandria via LeMat-Bulk. Energies are from PBE-GGA.

Cell: 3.250 4.448 9.598 Å, 94.89 94.41 111.31°
Space group P1 (No. 1)
Unique sites:
Cd: 0.000 0.000 0.000 (multiplicity 1)
Cd: 0.201 0.500 0.782 (multiplicity 1)
B: 0.287 0.556 0.041 (multiplicity 1)
B: 0.785 0.519 0.111 (multiplicity 1)
Cl: 0.462 0.086 0.633 (multiplicity 1)
Cl: 0.796 0.458 0.294 (multiplicity 1)

Summary:
The magnetic moment is 0.0 μB per cell. The volume comes out at 127.9 Å³ per cell. The calculation puts the theoretical density at 4.12 g cm⁻³.

(10)
Here is a relaxed structure of Ho12Hg5Au2 from Alexandria via LeMat-Bulk. Energies are from PBE-GGA.

Cell: 15.859 7.777 9.062 Å, 90.00 96.48 90.00°
Space group C2/m (No. 12)
Unique sites:
Ho: 0.017 0.000 0.286 (multiplicity 4)
Ho: 0.045 0.500 0.834 (multiplicity 4)
Ho: 0.141 0.237 0.563 (multiplicity 8)
Ho: 0.174 0.268 0.133 (multiplicity 8)
Hg: 0.000 0.500 0.500 (multiplicity 2)
Hg: 0.168 0.000 0.863 (multiplicity 4)
Hg: 0.225 0.000 0.361 (multiplicity 4)
Au: 0.000 0.194 0.000 (multiplicity 4)

Summary:
For the formation enthalpy at 0 K, the calculation gives -0.26 eV per atom. The magnetic moment is 1.3 μB per cell. The volume comes out at 1110.7 Å³ per cell. The calculation puts the theoretical density at 10.09 g cm⁻³.

(11)
Here is a relaxed structure of Pa2Co4P3Rh from Alexandria via LeMat-Bulk. Energies are from PBE-GGA.

Cell: 3.719 3.719 10.313 Å, 90.00 90.00 90.00°
Space group P-4m2 (No. 115)
Unique sites:
Pa: 0.000 0.500 0.247 (multiplicity 2)
Co: 0.000 0.000 0.500 (multiplicity 1)
Co: 0.000 0.500 0.831 (multiplicity 2)
Co: 0.500 0.500 0.500 (multiplicity 1)
P: 0.000 0.000 0.000 (multiplicity 1)
P: 0.000 0.500 0.619 (multiplicity 2)
Rh: 0.500 0.500 0.000 (multiplicity 1)

Summary:
For the formation enthalpy at 0 K, the calculation gives -0.88 eV per atom. The magnetic moment is 0.6 μB per cell. The volume comes out at 142.6 Å³ per cell. The calculation puts the theoretical density at 10.40 g cm⁻³.

(12)
Here is a relaxed structure of SiBO from Alexandria via LeMat-Bulk. Energies are from PBE-GGA.

Cell: 9.774 2.887 6.946 Å, 90.00 134.46 90.00°
Space group Cm (No. 8)
Unique sites:
Si: 0.000 0.000 0.000 (multiplicity 2)
Si: 0.077 0.000 0.511 (multiplicity 2)
B: 0.186 0.500 0.019 (multiplicity 2)
B: 0.218 0.500 0.802 (multiplicity 2)
O: 0.125 0.000 0.328 (multiplicity 2)
O: 0.343 0.500 0.297 (multiplicity 2)

Summary:
The magnetic moment is 0.0 μB per cell. The volume comes out at 139.9 Å³ per cell. The calculation puts the theoretical density at 2.61 g cm⁻³.

Record-wise DFT total energy values, in eV/atom: -3.30, -3.90, -5.42, -2.30, -3.01, -5.09, -2.59, -7.52, -3.29, -3.57, -7.98, -6.62